[1]
! SrBN2 | Alexandria | meta-GGA SCAN | PBEsol geometry; values from VASP
! space-group type	I4_1/amd
! raw formation energy	-0.62	eV/atom
! magnetic moment	0.000	μB/cell
&SYSTEM
  ibrav = 0, nat = 8, ntyp = 3
/
ATOMIC_SPECIES
Sr 87.62 Sr.upf
B 10.81 B.upf
N 14.01 N.upf
CELL_PARAMETERS angstrom
-2.2615 2.2615 4.1945
2.2615 -2.2615 4.1945
2.2615 2.2615 -4.1945
ATOMIC_POSITIONS angstrom
Sr 2.2615 1.1308 1.0486
Sr 0.0000 1.1308 3.1459
B 2.2615 -1.1308 3.1459
B 0.0000 3.3923 1.0486
N 0.0000 0.0000 0.0000
N 1.1308 1.1308 -2.0972
N 1.1308 -1.1308 2.0972
N 0.0000 2.2615 0.0000

***

[2]
! SrBN2 | Alexandria | meta-GGA SCAN | PBEsol geometry; values from VASP
! space-group type	R-3m
! raw formation energy	1.37	eV/atom
! magnetic moment	1.750	μB/cell
&SYSTEM
  ibrav = 0, nat = 4, ntyp = 3
/
ATOMIC_SPECIES
Sr 87.62 Sr.upf
B 10.81 B.upf
N 14.01 N.upf
CELL_PARAMETERS angstrom
1.4366 0.8294 6.2278
-1.4366 0.8294 6.2278
0.0000 -1.6588 6.2278
ATOMIC_POSITIONS angstrom
Sr 0.0000 0.0000 0.0000
B 0.0000 0.0000 9.3417
N 0.0000 0.0000 2.3447
N 0.0000 0.0000 16.3387

***

[3]
! SrBTeN2 | Alexandria | meta-GGA SCAN | PBEsol geometry; values from VASP
! space-group type	P4/mmm
! raw formation energy	2.09	eV/atom
! magnetic moment	4.199	μB/cell
&SYSTEM
  ibrav = 0, nat = 5, ntyp = 4
/
ATOMIC_SPECIES
Sr 87.62 Sr.upf
B 10.81 B.upf
Te 127.60 Te.upf
N 14.01 N.upf
CELL_PARAMETERS angstrom
4.6456 0.0000 0.0000
0.0000 4.6456 0.0000
0.0000 0.0000 6.5315
ATOMIC_POSITIONS angstrom
Sr 0.0000 0.0000 0.0000
B 2.3228 2.3228 3.2657
Te 0.0000 0.0000 3.2657
N 0.0000 2.3228 0.0000
N 2.3228 0.0000 0.0000

***

[4]
! TaBN2 | Alexandria | meta-GGA SCAN | PBEsol geometry; values from VASP
! space-group type	R-3m
! raw formation energy	0.69	eV/atom
! magnetic moment	0.004	μB/cell
&SYSTEM
  ibrav = 0, nat = 4, ntyp = 3
/
ATOMIC_SPECIES
Ta 180.95 Ta.upf
B 10.81 B.upf
N 14.01 N.upf
CELL_PARAMETERS angstrom
1.3939 0.8047 5.6210
-1.3939 0.8047 5.6210
0.0000 -1.6095 5.6210
ATOMIC_POSITIONS angstrom
Ta 0.0000 0.0000 0.0000
B 0.0000 0.0000 8.4316
N 0.0000 0.0000 1.9832
N 0.0000 0.0000 14.8800